Material: HfSn2I8
Method: DFT, PBE
State: relaxed

The value obtained for the density of states at the Fermi level is 0.0 states/eV/f.u. The total energy is -3.389 eV/atom. For the total magnetization, the calculation gives 0.0 μB per cell. The value obtained for the uncorrected formation energy is -0.629 eV per atom.

The structure belongs to space group C2/m (No. 12); the cell edges are 14.9265, 8.1935 and 8.2201 Å and the angles 90.00°, 90.33° and 90.00°. The inequivalent atoms are Hf at (0.0000, 0.0000, 0.0000), Sn at (0.1271, 0.0000, 0.4971), I at (0.0492, 0.2450, 0.2324), I at (0.1792, 0.0000, 0.8817) and I at (0.1940, 0.5000, 0.6123).